1) # K2InSe PBE optimized geometry
# Symmetry = I-42d
data_K2InSe
_chemical_formula_sum 'K4 In2 Se2'
_cell_length_a 11.7718
_cell_length_b 11.7718
_cell_length_c 11.7718
_cell_angle_alpha 154.21
_cell_angle_beta 154.21
_cell_angle_gamma 36.80
_symmetry_space_group_name_H-M 'P 1'
_symmetry_Int_Tables_number 1
loop_
_symmetry_equiv_pos_as_xyz
'x,y,z'
loop_
_atom_site_label
_atom_site_type_symbol
_atom_site_fract_x
_atom_site_fract_y
_atom_site_fract_z
K1 K 0.0798 0.6250 0.9548
K2 K 0.3750 0.3298 0.4548
K3 K 0.6702 0.1250 0.0452
K4 K 0.8750 0.9202 0.5452
In1 In 0.2500 0.7500 0.5000
In2 In 0.5000 0.5000 0.0000
Se1 Se 0.0000 0.0000 0.0000
Se2 Se 0.7500 0.2500 0.5000



2) # K2InSe PBE optimized geometry
# Symmetry = I-4m2
data_K2InSe
_chemical_formula_sum 'K2 In1 Se1'
_cell_length_a 6.4407
_cell_length_b 6.4407
_cell_length_c 6.4407
_cell_angle_alpha 134.74
_cell_angle_beta 134.74
_cell_angle_gamma 65.93
_symmetry_space_group_name_H-M 'P 1'
_symmetry_Int_Tables_number 1
loop_
_symmetry_equiv_pos_as_xyz
'x,y,z'
loop_
_atom_site_label
_atom_site_type_symbol
_atom_site_fract_x
_atom_site_fract_y
_atom_site_fract_z
K1 K 0.0000 0.0000 0.0000
K2 K 0.7500 0.2500 0.5000
In1 In 0.5000 0.5000 0.0000
Se1 Se 0.2500 0.7500 0.5000



3) # K2InSe PBE optimized geometry
# Symmetry = Pmmm
data_K2InSe
_chemical_formula_sum 'K2 In1 Se1'
_cell_length_a 4.1553
_cell_length_b 4.3848
_cell_length_c 7.2336
_cell_angle_alpha 90.00
_cell_angle_beta 90.00
_cell_angle_gamma 90.00
_symmetry_space_group_name_H-M 'P 1'
_symmetry_Int_Tables_number 1
loop_
_symmetry_equiv_pos_as_xyz
'x,y,z'
loop_
_atom_site_label
_atom_site_type_symbol
_atom_site_fract_x
_atom_site_fract_y
_atom_site_fract_z
K1 K 0.0000 0.0000 0.2083
K2 K 0.0000 0.0000 0.7917
In1 In 0.5000 0.5000 0.5000
Se1 Se 0.5000 0.5000 0.0000



Which structure loses on stability? 1) does.



1) # KIn2Se2 PBE optimized geometry
# Symmetry = I4/mmm
data_KIn2Se2
_chemical_formula_sum 'K1 In2 Se2'
_cell_length_a 7.9909
_cell_length_b 7.9909
_cell_length_c 7.9909
_cell_angle_alpha 147.26
_cell_angle_beta 147.26
_cell_angle_gamma 46.98
_symmetry_space_group_name_H-M 'P 1'
_symmetry_Int_Tables_number 1
loop_
_symmetry_equiv_pos_as_xyz
'x,y,z'
loop_
_atom_site_label
_atom_site_type_symbol
_atom_site_fract_x
_atom_site_fract_y
_atom_site_fract_z
K1 K 0.0000 0.0000 0.0000
In1 In 0.2500 0.7500 0.5000
In2 In 0.7500 0.2500 0.5000
Se1 Se 0.4120 0.4120 0.0000
Se2 Se 0.5880 0.5880 0.0000



2) # KIn2Se2 PBE optimized geometry
# Symmetry = I4/mmm
data_KIn2Se2
_chemical_formula_sum 'K1 In2 Se2'
_cell_length_a 6.3059
_cell_length_b 6.3059
_cell_length_c 6.3059
_cell_angle_alpha 128.63
_cell_angle_beta 128.63
_cell_angle_gamma 75.61
_symmetry_space_group_name_H-M 'P 1'
_symmetry_Int_Tables_number 1
loop_
_symmetry_equiv_pos_as_xyz
'x,y,z'
loop_
_atom_site_label
_atom_site_type_symbol
_atom_site_fract_x
_atom_site_fract_y
_atom_site_fract_z
K1 K 0.0000 0.0000 0.0000
In1 In 0.3498 0.3498 0.0000
In2 In 0.6502 0.6502 0.0000
Se1 Se 0.2500 0.7500 0.5000
Se2 Se 0.7500 0.2500 0.5000



3) # KIn2Se2 PBE optimized geometry
# Symmetry = C2/m
data_KIn2Se2
_chemical_formula_sum 'K2 In4 Se4'
_cell_length_a 8.1696
_cell_length_b 8.1696
_cell_length_c 6.6613
_cell_angle_alpha 110.46
_cell_angle_beta 110.46
_cell_angle_gamma 111.00
_symmetry_space_group_name_H-M 'P 1'
_symmetry_Int_Tables_number 1
loop_
_symmetry_equiv_pos_as_xyz
'x,y,z'
loop_
_atom_site_label
_atom_site_type_symbol
_atom_site_fract_x
_atom_site_fract_y
_atom_site_fract_z
K1 K 0.2212 0.7788 0.0000
K2 K 0.7788 0.2212 0.0000
In1 In 0.2520 0.2520 0.7176
In2 In 0.3808 0.6192 0.5000
In3 In 0.6192 0.3808 0.5000
In4 In 0.7480 0.7480 0.2824
Se1 Se 0.1823 0.8177 0.5000
Se2 Se 0.2146 0.2146 0.1242
Se3 Se 0.7854 0.7854 0.8758
Se4 Se 0.8177 0.1823 0.5000



Which structure loses on stability? 1) does.



1) # KIn3Se PBE optimized geometry
# Symmetry = Pm-3m
data_KIn3Se
_chemical_formula_sum 'K1 In3 Se1'
_cell_length_a 5.8200
_cell_length_b 5.8200
_cell_length_c 5.8200
_cell_angle_alpha 90.00
_cell_angle_beta 90.00
_cell_angle_gamma 90.00
_symmetry_space_group_name_H-M 'P 1'
_symmetry_Int_Tables_number 1
loop_
_symmetry_equiv_pos_as_xyz
'x,y,z'
loop_
_atom_site_label
_atom_site_type_symbol
_atom_site_fract_x
_atom_site_fract_y
_atom_site_fract_z
K1 K 0.0000 0.0000 0.0000
In1 In 0.0000 0.5000 0.5000
In2 In 0.5000 0.0000 0.5000
In3 In 0.5000 0.5000 0.0000
Se1 Se 0.5000 0.5000 0.5000



2) # KIn3Se PBE optimized geometry
# Symmetry = Pm-3m
data_KIn3Se
_chemical_formula_sum 'K1 In3 Se1'
_cell_length_a 6.0729
_cell_length_b 6.0729
_cell_length_c 6.0729
_cell_angle_alpha 90.00
_cell_angle_beta 90.00
_cell_angle_gamma 90.00
_symmetry_space_group_name_H-M 'P 1'
_symmetry_Int_Tables_number 1
loop_
_symmetry_equiv_pos_as_xyz
'x,y,z'
loop_
_atom_site_label
_atom_site_type_symbol
_atom_site_fract_x
_atom_site_fract_y
_atom_site_fract_z
K1 K 0.0000 0.0000 0.0000
In1 In 0.0000 0.0000 0.5000
In2 In 0.0000 0.5000 0.0000
In3 In 0.5000 0.0000 0.0000
Se1 Se 0.5000 0.5000 0.5000



Which structure loses on stability? 2) does.



1) # K2In2Se PBE optimized geometry
# Symmetry = I4/mmm
data_K2In2Se
_chemical_formula_sum 'K2 In2 Se1'
_cell_length_a 8.5344
_cell_length_b 8.5344
_cell_length_c 8.5344
_cell_angle_alpha 146.94
_cell_angle_beta 146.94
_cell_angle_gamma 47.45
_symmetry_space_group_name_H-M 'P 1'
_symmetry_Int_Tables_number 1
loop_
_symmetry_equiv_pos_as_xyz
'x,y,z'
loop_
_atom_site_label
_atom_site_type_symbol
_atom_site_fract_x
_atom_site_fract_y
_atom_site_fract_z
K1 K 0.2500 0.7500 0.5000
K2 K 0.7500 0.2500 0.5000
In1 In 0.0861 0.0861 0.0000
In2 In 0.9139 0.9139 0.0000
Se1 Se 0.5000 0.5000 0.0000



2) # K2In2Se PBE optimized geometry
# Symmetry = P4/mbm
data_K2In2Se
_chemical_formula_sum 'K4 In4 Se2'
_cell_length_a 7.8542
_cell_length_b 7.8542
_cell_length_c 5.7998
_cell_angle_alpha 90.00
_cell_angle_beta 90.00
_cell_angle_gamma 90.00
_symmetry_space_group_name_H-M 'P 1'
_symmetry_Int_Tables_number 1
loop_
_symmetry_equiv_pos_as_xyz
'x,y,z'
loop_
_atom_site_label
_atom_site_type_symbol
_atom_site_fract_x
_atom_site_fract_y
_atom_site_fract_z
K1 K 0.1835 0.3165 0.0000
K2 K 0.3165 0.8165 0.0000
K3 K 0.6835 0.1835 0.0000
K4 K 0.8165 0.6835 0.0000
In1 In 0.1310 0.6310 0.5000
In2 In 0.3690 0.1310 0.5000
In3 In 0.6310 0.8690 0.5000
In4 In 0.8690 0.3690 0.5000
Se1 Se 0.0000 0.0000 0.5000
Se2 Se 0.5000 0.5000 0.5000



Which structure loses on stability? 1) does.



1) # K2InSi PBE optimized geometry
# Symmetry = Cm
data_K2InSi
_chemical_formula_sum 'K2 In1 Si1'
_cell_length_a 6.4522
_cell_length_b 6.4522
_cell_length_c 5.9812
_cell_angle_alpha 117.48
_cell_angle_beta 117.48
_cell_angle_gamma 40.17
_symmetry_space_group_name_H-M 'P 1'
_symmetry_Int_Tables_number 1
loop_
_symmetry_equiv_pos_as_xyz
'x,y,z'
loop_
_atom_site_label
_atom_site_type_symbol
_atom_site_fract_x
_atom_site_fract_y
_atom_site_fract_z
K1 K 0.0000 0.0000 0.0000
K2 K 0.1828 0.1828 0.6758
In1 In 0.7873 0.7873 0.3003
Si1 Si 0.4142 0.4142 0.3807



2) # K2InSi PBE optimized geometry
# Symmetry = I4/mmm
data_K2InSi
_chemical_formula_sum 'K2 In1 Si1'
_cell_length_a 6.4232
_cell_length_b 6.4232
_cell_length_c 6.4232
_cell_angle_alpha 136.95
_cell_angle_beta 136.95
_cell_angle_gamma 62.52
_symmetry_space_group_name_H-M 'P 1'
_symmetry_Int_Tables_number 1
loop_
_symmetry_equiv_pos_as_xyz
'x,y,z'
loop_
_atom_site_label
_atom_site_type_symbol
_atom_site_fract_x
_atom_site_fract_y
_atom_site_fract_z
K1 K 0.2500 0.7500 0.5000
K2 K 0.7500 0.2500 0.5000
In1 In 0.0000 0.0000 0.0000
Si1 Si 0.5000 0.5000 0.0000



3) # K2InSi PBE optimized geometry
# Symmetry = Pmm2
data_K2InSi
_chemical_formula_sum 'K2 In1 Si1'
_cell_length_a 3.5827
_cell_length_b 4.0640
_cell_length_c 10.0710
_cell_angle_alpha 90.00
_cell_angle_beta 90.00
_cell_angle_gamma 90.00
_symmetry_space_group_name_H-M 'P 1'
_symmetry_Int_Tables_number 1
loop_
_symmetry_equiv_pos_as_xyz
'x,y,z'
loop_
_atom_site_label
_atom_site_type_symbol
_atom_site_fract_x
_atom_site_fract_y
_atom_site_fract_z
K1 K 0.0000 0.0000 0.0000
K2 K 0.5000 0.5000 0.4118
In1 In 0.5000 0.5000 0.7562
Si1 Si 0.0000 0.0000 0.6420



4) # K2InSi PBE optimized geometry
# Symmetry = I-4m2
data_K2InSi
_chemical_formula_sum 'K2 In1 Si1'
_cell_length_a 5.5501
_cell_length_b 5.5501
_cell_length_c 5.5501
_cell_angle_alpha 120.40
_cell_angle_beta 120.40
_cell_angle_gamma 89.31
_symmetry_space_group_name_H-M 'P 1'
_symmetry_Int_Tables_number 1
loop_
_symmetry_equiv_pos_as_xyz
'x,y,z'
loop_
_atom_site_label
_atom_site_type_symbol
_atom_site_fract_x
_atom_site_fract_y
_atom_site_fract_z
K1 K 0.0000 0.0000 0.0000
K2 K 0.7500 0.2500 0.5000
In1 In 0.5000 0.5000 0.0000
Si1 Si 0.2500 0.7500 0.5000



Which structure loses on stability? 2) does.



1) # K2InSi PBE optimized geometry
# Symmetry = P4/mmm
data_K2InSi
_chemical_formula_sum 'K2 In1 Si1'
_cell_length_a 3.3058
_cell_length_b 3.3058
_cell_length_c 11.3205
_cell_angle_alpha 90.00
_cell_angle_beta 90.00
_cell_angle_gamma 90.00
_symmetry_space_group_name_H-M 'P 1'
_symmetry_Int_Tables_number 1
loop_
_symmetry_equiv_pos_as_xyz
'x,y,z'
loop_
_atom_site_label
_atom_site_type_symbol
_atom_site_fract_x
_atom_site_fract_y
_atom_site_fract_z
K1 K 0.0000 0.0000 0.2217
K2 K 0.0000 0.0000 0.7783
In1 In 0.5000 0.5000 0.5000
Si1 Si 0.5000 0.5000 0.0000



2) # K2InSi PBE optimized geometry
# Symmetry = Amm2
data_K2InSi
_chemical_formula_sum 'K2 In1 Si1'
_cell_length_a 4.5087
_cell_length_b 6.7054
_cell_length_c 6.7054
_cell_angle_alpha 48.95
_cell_angle_beta 90.00
_cell_angle_gamma 90.00
_symmetry_space_group_name_H-M 'P 1'
_symmetry_Int_Tables_number 1
loop_
_symmetry_equiv_pos_as_xyz
'x,y,z'
loop_
_atom_site_label
_atom_site_type_symbol
_atom_site_fract_x
_atom_site_fract_y
_atom_site_fract_z
K1 K 0.0000 0.0000 0.0000
K2 K 0.5000 0.2935 0.2935
In1 In 0.5000 0.6016 0.6016
Si1 Si 0.0000 0.7068 0.7068



3) # K2InSi PBE optimized geometry
# Symmetry = Fm-3m
data_K2InSi
_chemical_formula_sum 'K2 In1 Si1'
_cell_length_a 5.7297
_cell_length_b 5.7297
_cell_length_c 5.7297
_cell_angle_alpha 60.00
_cell_angle_beta 60.00
_cell_angle_gamma 60.00
_symmetry_space_group_name_H-M 'P 1'
_symmetry_Int_Tables_number 1
loop_
_symmetry_equiv_pos_as_xyz
'x,y,z'
loop_
_atom_site_label
_atom_site_type_symbol
_atom_site_fract_x
_atom_site_fract_y
_atom_site_fract_z
K1 K 0.2500 0.2500 0.2500
K2 K 0.7500 0.7500 0.7500
In1 In 0.0000 0.0000 0.0000
Si1 Si 0.5000 0.5000 0.5000



Which structure loses on stability? 3) does.